Record 1
An optimized crystal structure of ScBeAlNi, computed with PBE.

Unit cell a=4.2521 b=4.2521 c=4.2521 alpha=60.00 beta=60.00 gamma=60.00
Sites, in units of the cell vectors:
Sc: 0.0000 0.0000 0.0000
Be: 0.2500 0.2500 0.2500
Al: 0.5000 0.5000 0.5000
Ni: 0.7500 0.7500 0.7500

Results
Formation enthalpy at 0 K in eV/f.u.: -1.69
Symmetry: F-43m

***

Record 2
An optimized crystal structure of KDyCdPb, computed with PBE.

Unit cell a=5.5654 b=5.5654 c=5.5654 alpha=60.00 beta=60.00 gamma=60.00
Sites, in units of the cell vectors:
K: 0.0000 0.0000 0.0000
Dy: 0.5000 0.5000 0.5000
Cd: 0.7500 0.7500 0.7500
Pb: 0.2500 0.2500 0.2500

Results
Formation enthalpy at 0 K in eV/f.u.: -0.51
Symmetry: F-43m

***

Record 3
An optimized crystal structure of UHgBi2, computed with PBE.

Unit cell a=4.1607 b=4.1607 c=6.7165 alpha=90.00 beta=90.00 gamma=90.00
Sites, in units of the cell vectors:
U: 0.0000 0.0000 0.0000
Hg: 0.0000 0.0000 0.5000
Bi: 0.5000 0.5000 0.2323
Bi: 0.5000 0.5000 0.7677

Results
Energy above the lowest structure with this stoichiometry in eV/f.u.: 0.18
Formation enthalpy at 0 K in eV/f.u.: 0.23
Symmetry: P4/mmm

***

Record 4
An optimized crystal structure of Zr2Pd2Se, computed with PBE.

Unit cell a=7.3158 b=7.3158 c=3.7318 alpha=90.00 beta=90.00 gamma=90.00
Sites, in units of the cell vectors:
Zr: 0.1677 0.3323 0.0000
Zr: 0.3323 0.8323 0.0000
Zr: 0.6677 0.1677 0.0000
Zr: 0.8323 0.6677 0.0000
Pd: 0.1296 0.6296 0.5000
Pd: 0.3704 0.1296 0.5000
Pd: 0.6296 0.8704 0.5000
Pd: 0.8704 0.3704 0.5000
Se: 0.0000 0.0000 0.0000
Se: 0.5000 0.5000 0.0000

Results
ΔE_f (raw) in meV per atom: -685.2
Symmetry: P4/mbm

***

Record 5
An optimized crystal structure of LaErTm2, computed with PBE.

Unit cell a=12.5126 b=12.5126 c=12.5126 alpha=15.83 beta=15.83 gamma=15.83
Sites, in units of the cell vectors:
La: 0.0000 0.0000 0.0000
Er: 0.5000 0.5000 0.5000
Tm: 0.0910 0.0910 0.0910
Tm: 0.9090 0.9090 0.9090

Results
Energy above the lowest structure with this stoichiometry in eV/f.u.: 0.49
Formation enthalpy at 0 K in eV/f.u.: 0.54
Symmetry: R-3m

***

Record 6
An optimized crystal structure of Tb3Al3Cd2, computed with PBE.

Unit cell a=6.0428 b=6.0428 c=14.9009 alpha=90.00 beta=90.00 gamma=135.66
Sites, in units of the cell vectors:
Tb: 0.0774 0.9226 0.6147
Tb: 0.0774 0.9226 0.8853
Tb: 0.3502 0.6498 0.7500
Tb: 0.6498 0.3502 0.2500
Tb: 0.9226 0.0774 0.1147
Tb: 0.9226 0.0774 0.3853
Al: 0.3614 0.6386 0.2500
Al: 0.3991 0.6009 0.5437
Al: 0.3991 0.6009 0.9563
Al: 0.6009 0.3991 0.0437
Al: 0.6009 0.3991 0.4563
Al: 0.6386 0.3614 0.7500
Cd: 0.2152 0.7848 0.0942
Cd: 0.2152 0.7848 0.4058
Cd: 0.7848 0.2152 0.5942
Cd: 0.7848 0.2152 0.9058

Results
Formation enthalpy at 0 K in eV/f.u.: -2.98
Symmetry: Cmcm

***

Copy entry 5 word for word.
An optimized crystal structure of LaErTm2, computed with PBE.

Unit cell a=12.5126 b=12.5126 c=12.5126 alpha=15.83 beta=15.83 gamma=15.83
Sites, in units of the cell vectors:
La: 0.0000 0.0000 0.0000
Er: 0.5000 0.5000 0.5000
Tm: 0.0910 0.0910 0.0910
Tm: 0.9090 0.9090 0.9090

Results
Energy above the lowest structure with this stoichiometry in eV/f.u.: 0.49
Formation enthalpy at 0 K in eV/f.u.: 0.54
Symmetry: R-3m